Record 1
Here is an optimized crystal structure of Mo2W from Alexandria via LeMat-Bulk. Energies are from PBE.

abc: 2.691 7.951 4.520
angles: 90.00 90.00 90.00
Element x y z (fractional)
1 Mo 0.193 0.163 0.000
2 Mo 0.307 0.663 0.500
3 Mo 0.693 0.337 0.500
4 Mo 0.807 0.837 0.000
5 W 0.000 0.500 0.000
6 W 0.500 0.000 0.500

Summary:
* space group: Pnnm, No. 58
* energy relative to the elements: 156 meV/atom


Record 2
Here is an optimized crystal structure of Mo2W from Alexandria via LeMat-Bulk. Energies are from PBE.

abc: 4.291 4.291 4.291
angles: 118.68 118.68 92.30
Element x y z (fractional)
1 Mo 0.250 0.750 0.500
2 Mo 0.750 0.250 0.500
3 W 0.000 0.000 0.000

Summary:
* space group: I4/mmm, No. 139
* energy relative to the elements: 933 meV/atom


Record 3
Here is an optimized crystal structure of Mo2W from Alexandria via LeMat-Bulk. Energies are from PBE.

abc: 3.753 3.753 14.131
angles: 97.45 97.45 90.02
Element x y z (fractional)
1 Mo 0.042 0.792 0.583
2 Mo 0.125 0.375 0.751
3 Mo 0.208 0.958 0.917
4 Mo 0.375 0.125 0.251
5 Mo 0.625 0.875 0.749
6 Mo 0.792 0.042 0.083
7 Mo 0.875 0.625 0.249
8 Mo 0.958 0.208 0.417
9 W 0.292 0.542 0.083
10 W 0.458 0.708 0.417
11 W 0.542 0.292 0.583
12 W 0.708 0.458 0.917

Summary:
* space group: C2/c, No. 15
* energy relative to the elements: 331 meV/atom


Record 4
Here is an optimized crystal structure of Mo2W3 from Alexandria via LeMat-Bulk. Energies are from PBE.

abc: 8.079 7.234 5.256
angles: 78.87 61.46 39.67
Element x y z (fractional)
1 Mo 0.026 0.026 0.224
2 Mo 0.224 0.224 0.026
3 Mo 0.776 0.776 0.974
4 Mo 0.974 0.974 0.776
5 W 0.174 0.174 0.576
6 W 0.375 0.375 0.375
7 W 0.424 0.424 0.826
8 W 0.576 0.576 0.174
9 W 0.625 0.625 0.625
10 W 0.826 0.826 0.424

Summary:
* space group: Fddd, No. 70
* energy relative to the elements: 253 meV/atom


Record 5
Here is an optimized crystal structure of MoW2 from Alexandria via LeMat-Bulk. Energies are from PBE.

abc: 4.494 4.494 2.755
angles: 90.00 90.00 120.00
Element x y z (fractional)
1 Mo 0.000 0.000 0.000
2 W 0.333 0.667 0.331
3 W 0.667 0.333 0.669

Summary:
* space group: P-3m1, No. 164
* energy relative to the elements: -16 meV/atom


Record 6
Here is an optimized crystal structure of Mo2W from Alexandria via LeMat-Bulk. Energies are from PBE.

abc: 6.107 6.107 6.107
angles: 90.00 90.00 90.00
Element x y z (fractional)
1 Mo 0.130 0.130 0.130
2 Mo 0.130 0.370 0.630
3 Mo 0.370 0.630 0.130
4 Mo 0.370 0.870 0.630
5 Mo 0.630 0.130 0.370
6 Mo 0.630 0.370 0.870
7 Mo 0.870 0.630 0.370
8 Mo 0.870 0.870 0.870
9 W 0.000 0.000 0.500
10 W 0.000 0.500 0.000
11 W 0.500 0.000 0.000
12 W 0.500 0.500 0.500

Summary:
* space group: Pa-3, No. 205
* energy relative to the elements: 1380 meV/atom


Record 7
Here is an optimized crystal structure of MoW3 from Alexandria via LeMat-Bulk. Energies are from PBE.

abc: 5.279 5.279 5.279
angles: 144.97 129.62 62.84
Element x y z (fractional)
1 Mo 0.000 0.000 0.000
2 W 0.250 0.750 0.500
3 W 0.500 0.500 0.000
4 W 0.750 0.250 0.500

Summary:
* space group: Immm, No. 71
* energy relative to the elements: -10 meV/atom


Record 8
Here is an optimized crystal structure of Mo2W from Alexandria via LeMat-Bulk. Energies are from PBE.

abc: 2.749 5.261 6.892
angles: 78.07 82.44 80.19
Element x y z (fractional)
1 Mo 0.083 0.084 0.167
2 Mo 0.249 0.250 0.500
3 Mo 0.751 0.750 0.500
4 Mo 0.917 0.916 0.833
5 W 0.416 0.417 0.833
6 W 0.584 0.583 0.167

Summary:
* space group: P-1, No. 2
* energy relative to the elements: -19 meV/atom


Record 9
Here is an optimized crystal structure of MoW from Alexandria via LeMat-Bulk. Energies are from PBE.

abc: 2.748 4.480 5.274
angles: 90.00 99.82 90.00
Element x y z (fractional)
1 Mo 0.123 0.250 0.375
2 Mo 0.877 0.750 0.625
3 W 0.373 0.750 0.125
4 W 0.627 0.250 0.875

Summary:
* space group: P2_1/m, No. 11
* energy relative to the elements: -16 meV/atom


Record 10
Here is an optimized crystal structure of MoW from Alexandria via LeMat-Bulk. Energies are from PBE.

abc: 7.080 7.080 7.080
angles: 90.00 90.00 90.00
Element x y z (fractional)
1 Mo 0.000 0.250 0.500
2 Mo 0.000 0.750 0.500
3 Mo 0.250 0.500 0.000
4 Mo 0.500 0.000 0.250
5 Mo 0.500 0.000 0.750
6 Mo 0.750 0.500 0.000
7 W 0.000 0.500 0.250
8 W 0.000 0.500 0.750
9 W 0.250 0.000 0.500
10 W 0.500 0.250 0.000
11 W 0.500 0.750 0.000
12 W 0.750 0.000 0.500

Summary:
* space group: Pm-3n, No. 223
* energy relative to the elements: 2628 meV/atom


Record 11
Here is an optimized crystal structure of Mo2W from Alexandria via LeMat-Bulk. Energies are from PBE.

abc: 7.091 6.913 2.745
angles: 82.35 75.08 22.56
Element x y z (fractional)
1 Mo 0.167 0.167 0.833
2 Mo 0.833 0.833 0.167
3 W 0.500 0.500 0.500

Summary:
* space group: Fmmm, No. 69
* energy relative to the elements: -5 meV/atom


Record 12
Here is an optimized crystal structure of MoW from Alexandria via LeMat-Bulk. Energies are from PBE.

abc: 5.211 5.211 5.240
angles: 90.00 90.00 90.00
Element x y z (fractional)
1 Mo 0.205 0.205 0.000
2 Mo 0.295 0.705 0.500
3 Mo 0.705 0.295 0.500
4 Mo 0.795 0.795 0.000
5 W 0.203 0.203 0.500
6 W 0.297 0.703 0.000
7 W 0.703 0.297 0.000
8 W 0.797 0.797 0.500

Summary:
* space group: P4_2/mnm, No. 136
* energy relative to the elements: 1201 meV/atom


Number 1: E -11.382 eV/atom. Number 2: E -10.605 eV/atom. Number 3: E -11.208 eV/atom. Number 4: E -11.852 eV/atom. Number 5: E -12.262 eV/atom. Number 6: E -10.158 eV/atom. Number 7: E -12.433 eV/atom. Number 8: E -11.557 eV/atom. Number 9: E -11.908 eV/atom. Number 10: E -9.264 eV/atom. Number 11: E -11.543 eV/atom. Number 12: E -10.691 eV/atom.